## La3Nd6Ho2Mg (GGA-PBE)

Data for crystalline La3Nd6Ho2Mg at its relaxed geometry.

a = 6.325 Å, b = 6.325 Å, c = 11.982 Å
α = 95.09°, β = 95.09°, γ = 120.08°
Sites, in units of the cell vectors:
La  0.000  0.000  0.000
La  0.332  0.668  0.000
La  0.668  0.332  0.000
Nd  0.089  0.421  0.258
Nd  0.249  0.249  0.743
Nd  0.421  0.089  0.258
Nd  0.579  0.911  0.742
Nd  0.751  0.751  0.257
Nd  0.911  0.579  0.742
Ho  0.167  0.833  0.500
Ho  0.833  0.167  0.500
Mg  0.500  0.500  0.500

Summary:
Energy of formation from the pure elements ... 36 kJ/mol of formula units
Fermi-level density of states ... 16.76 states/eV/cell
SG ... No. 12